{"formula": "NdHoNi2Sn", "functional": "PBE-GGA", "state": "relaxed", "lattice": [[3.693, 0.000, 0.000], [0.000, 2.010, 7.000], [0.000, -2.010, 7.000]], "species": ["Nd", "Ho", "Ni", "Ni", "Sn"], "fractional_positions": [[0.000, 0.000, 0.000], [0.000, 0.728, 0.728], [0.500, 0.169, 0.169], [0.500, 0.567, 0.567], [0.500, 0.361, 0.361]], "total_magnetization_mub_per_cell": 0.0, "vol_a3_per_fu": 104, "rho_kg_m3": 8713, "dft_energy_ev_per_atom": -5.4627}